Record 1
# ZnCrTcAu2

Crystalline ZnCrTcAu2 at its relaxed geometry (GGA-PBE, Alexandria via LeMat-Bulk).

a b c (Å): 5.133 5.133 4.422
angles (deg): 90.00 90.00 90.00
Fractional coordinates of all 5 atoms:
1 Zn 0.000 0.000 0.000
2 Cr 0.500 0.500 0.000
3 Tc 0.500 0.500 0.500
4 Au 0.000 0.500 0.500
5 Au 0.500 0.000 0.500

Values from the calculation:
Formation energy (meV per atom): 1109


Record 2
# FePdS2

Crystalline FePdS2 at its relaxed geometry (GGA-PBE, Alexandria via LeMat-Bulk).

a b c (Å): 7.248 7.248 7.248
angles (deg): 28.20 28.20 28.20
Fractional coordinates of all 4 atoms:
1 Fe 0.000 0.000 0.000
2 Pd 0.500 0.500 0.500
3 S 0.103 0.103 0.103
4 S 0.897 0.897 0.897

Values from the calculation:
VASP energy (eV/atom): -5.39


Record 3
# AlGaBi2S

Crystalline AlGaBi2S at its relaxed geometry (GGA-PBE, Alexandria via LeMat-Bulk).

a b c (Å): 5.597 5.597 4.470
angles (deg): 90.00 90.00 90.00
Fractional coordinates of all 5 atoms:
1 Al 0.000 0.000 0.000
2 Ga 0.500 0.500 0.500
3 Bi 0.000 0.500 0.000
4 Bi 0.500 0.000 0.000
5 S 0.000 0.000 0.500

Values from the calculation:
VASP energy (eV/atom): -3.45